Material: HoTmTe
Method: DFT, PBE
State: optimized geometry

Results
formation energy (no corrections)	-806	meV per atom
final energy	-4.870	eV/atom
magnetization	0.00	μB/atom
relative energy among the computed polymorphs	0.02	eV/f.u.
crystal system	monoclinic

Lattice parameters (Å, degrees): 3.9812 8.3821 14.7780 90.87 90.00 90.00
Closest atoms and distances in Å follow each position.
Positions (direct):
Te 0.7500 0.2693 0.7475  3 Tm 3.14-3.24, 6 Ho 3.16-3.27
Te 0.2500 0.7258 0.9438  3 Ho 3.07-3.13, 5 Tm 3.07-3.17
Te 0.7500 0.7421 0.5920  4 Tm 3.05-3.38, 4 Ho 3.12-3.23
Te 0.2500 0.7307 0.2525  3 Tm 3.14-3.24, 6 Ho 3.16-3.27
Te 0.2500 0.2579 0.4080  4 Tm 3.05-3.38, 4 Ho 3.12-3.23
Te 0.7500 0.2742 0.0562  3 Ho 3.07-3.13, 5 Tm 3.07-3.17
Ho 0.2500 0.9657 0.7101  4 Te 3.23-3.27, 6 Tm 3.45-3.60
Ho 0.7500 0.6430 0.0937  5 Te 3.07-3.16
Ho 0.2500 0.3570 0.9063  5 Te 3.07-3.16
Ho 0.7500 0.5412 0.3884  5 Te 3.12-3.43, 2 Tm 3.47
Ho 0.7500 0.0343 0.2899  4 Te 3.23-3.27, 6 Tm 3.45-3.60
Ho 0.2500 0.4588 0.6116  5 Te 3.12-3.43, 2 Tm 3.47
Tm 0.2500 0.8634 0.4524  4 Te 3.05-3.38, 2 Tm 3.33
Tm 0.2500 0.3594 0.2076  4 Te 3.07-3.17
Tm 0.7500 0.6406 0.7924  4 Te 3.07-3.17
Tm 0.7500 0.0036 0.9041  4 Te 3.13-3.24, 3 Tm 3.44-3.46
Tm 0.2500 0.9964 0.0959  4 Te 3.13-3.24, 3 Tm 3.44-3.46
Tm 0.7500 0.1366 0.5476  4 Te 3.05-3.38, 2 Tm 3.33

***

Material: Pu6SbAs5
Method: DFT, PBE
State: optimized geometry

Results
formation energy (no corrections)	-899	meV per atom
final energy	-10.346	eV/atom
magnetization	0.85	μB/atom
crystal system	monoclinic

Lattice parameters (Å, degrees): 7.2440 7.2479 7.2466 59.99 80.43 70.57
Closest atoms and distances in Å follow each position.
Positions (direct):
As 0.0000 0.3321 0.3358  6 Pu 2.95
As 0.5000 0.1620 0.6760  6 Pu 2.90-2.97
As 0.5000 0.8380 0.3240  6 Pu 2.90-2.97
As 0.5000 0.5000 0.0000  6 Pu 2.87-2.96
As 0.0000 0.6679 0.6642  6 Pu 2.95
Pu 0.7455 0.7396 0.0000  5 As 2.87-2.95, 1 Sb 3.05
Pu 0.7423 0.4315 0.6548  5 As 2.90-2.97, 1 Sb 3.06
Pu 0.2545 0.2604 0.0000  5 As 2.87-2.95, 1 Sb 3.05
Pu 0.2577 0.9136 0.6548  5 As 2.90-2.97, 1 Sb 3.06
Pu 0.2577 0.5685 0.3452  5 As 2.90-2.97, 1 Sb 3.06
Pu 0.7423 0.0864 0.3452  5 As 2.90-2.97, 1 Sb 3.06
Sb 0.0000 0.0000 0.0000  6 Pu 3.05-3.06

***

Material: TbTmCdTc
Method: DFT, PBE
State: optimized geometry

Results
final energy	-5.202	eV/atom
magnetization	0.00	μB/atom
crystal system	cubic

Lattice parameters (Å, degrees): 5.0181 5.0181 5.0181 60.00 60.00 60.00
Closest atoms and distances in Å follow each position.
Positions (direct):
Tm 0.0000 0.0000 0.0000  4 Cd 3.07, 4 Tc 3.07
Tb 0.5000 0.5000 0.5000  4 Tc 3.07, 4 Cd 3.07
Tc 0.2500 0.2500 0.2500  4 Tb 3.07, 4 Tm 3.07
Cd 0.7500 0.7500 0.7500  4 Tm 3.07, 4 Tb 3.07

***

Material: BaH4Pt
Method: DFT, PBE
State: optimized geometry

Results
final energy	-4.127	eV/atom
magnetization	0.00	μB/atom
crystal system	monoclinic

Lattice parameters (Å, degrees): 4.9996 5.0695 8.0852 105.49 90.00 119.54
Closest atoms and distances in Å follow each position.
Positions (direct):
Ba 0.2133 0.0000 0.2500  12 H 2.78-2.96
Ba 0.7867 0.0000 0.7500  12 H 2.78-2.96
H 0.8176 0.5747 0.9093  1 Pt 1.66
H 0.3527 0.1099 0.9236  1 Pt 1.66
H 0.2429 0.4253 0.5907  1 Pt 1.66
H 0.2428 0.8901 0.5764  1 Pt 1.66
H 0.7571 0.5747 0.4093  1 Pt 1.66
H 0.7572 0.1099 0.4236  1 Pt 1.66
H 0.1824 0.4253 0.0907  1 Pt 1.66
H 0.6473 0.8901 0.0764  1 Pt 1.66
Pt 0.0000 0.5000 0.5000  4 H 1.66
Pt 0.5000 0.5000 0.0000  4 H 1.66

***

Material: Sr3Ho3MgS8
Method: DFT, PBE
State: optimized geometry

Results
formation energy (no corrections)	-1983	meV per atom
final energy	-5.543	eV/atom
magnetization	0.00	μB/atom
crystal system	trigonal

Lattice parameters (Å, degrees): 7.9420 7.9419 8.2257 118.86 90.00 120.00
Closest atoms and distances in Å follow each position.
Positions (direct):
Mg 0.0000 0.0000 0.5000  6 S 2.69
S 0.2358 0.9812 0.7170  1 Mg 2.69, 2 Ho 2.75, 2 Sr 2.98
S 0.7642 0.0188 0.2830  1 Mg 2.69, 2 Ho 2.75, 2 Sr 2.98
S 0.7424 0.4849 0.7273  3 Ho 2.77, 3 Sr 2.95
S 0.7454 0.9812 0.7170  1 Mg 2.69, 2 Ho 2.75, 2 Sr 2.98
S 0.2576 0.5151 0.2727  3 Ho 2.77, 3 Sr 2.95
S 0.7643 0.5286 0.2831  1 Mg 2.69, 2 Ho 2.75, 2 Sr 2.98
S 0.2546 0.0188 0.2830  1 Mg 2.69, 2 Ho 2.75, 2 Sr 2.98
S 0.2357 0.4714 0.7169  1 Mg 2.69, 2 Ho 2.75, 2 Sr 2.98
Sr 0.0000 0.5000 0.0000  6 S 2.95-2.98
Sr 0.0000 0.0000 0.0000  6 S 2.95-2.98
Sr 0.5000 0.5000 0.0000  6 S 2.95-2.98
Ho 0.5000 0.5000 0.5000  6 S 2.75-2.77
Ho 0.0000 0.5000 0.5000  6 S 2.75-2.77
Ho 0.5000 0.0000 0.5000  6 S 2.75-2.77

***

Material: HgPt2Br
Method: DFT, PBE
State: optimized geometry

Results
formation energy (no corrections)	214	meV per atom
final energy	-3.300	eV/atom
magnetization	0.00	μB/atom
relative energy among the computed polymorphs	0.28	eV/f.u.
crystal system	monoclinic

Lattice parameters (Å, degrees): 3.5088 3.5186 7.1895 90.07 90.00 90.00
Closest atoms and distances in Å follow each position.
Positions (direct):
Pt 0.5000 0.5012 0.1813  4 Pt 2.66, 2 Br 2.72, 1 Hg 2.75
Pt 0.0000 0.0008 0.0493  4 Pt 2.66
Hg 0.5000 0.4984 0.7982  5 Pt 2.75-3.08, 2 Br 2.93
Br 0.0000 0.4996 0.4712  2 Pt 2.72, 2 Hg 2.93

***

Material: PuThBi2
Method: DFT, PBE
State: optimized geometry

Results
final energy	-7.803	eV/atom
magnetization	1.58	μB/atom
relative energy among the computed polymorphs	0.31	eV/f.u.
crystal system	tetragonal

Lattice parameters (Å, degrees): 3.5215 5.8415 5.8415 90.00 90.00 90.00
Closest atoms and distances in Å follow each position.
Positions (direct):
Pu 0.5000 0.5000 0.5000  8 Bi 3.41, 2 Pu 3.52
Bi 0.0000 0.0000 0.5000  4 Pu 3.41, 4 Th 3.41, 2 Bi 3.52
Bi 0.0000 0.5000 0.0000  4 Pu 3.41, 4 Th 3.41, 2 Bi 3.52
Th 0.5000 0.0000 0.0000  8 Bi 3.41, 2 Th 3.52

***

Material: TbSm8Sc6
Method: DFT, PBE
State: optimized geometry

Results
final energy	-5.174	eV/atom
magnetization	0.00	μB/atom
crystal system	trigonal

Lattice parameters (Å, degrees): 9.5167 9.5167 7.9632 53.31 53.31 60.00
Closest atoms and distances in Å follow each position.
Positions (direct):
Sc 0.7097 0.3823 0.9647  4 Sm 3.06-3.36, 1 Tb 3.26, 3 Sc 3.28-3.34
Sc 0.9434 0.7097 0.9647  4 Sm 3.06-3.36, 1 Tb 3.26, 3 Sc 3.28-3.34
Sc 0.0566 0.2903 0.0353  4 Sm 3.06-3.36, 1 Tb 3.26, 3 Sc 3.28-3.34
Sc 0.3823 0.9434 0.9647  4 Sm 3.06-3.36, 1 Tb 3.26, 3 Sc 3.28-3.34
Sc 0.2903 0.6177 0.0353  4 Sm 3.06-3.36, 1 Tb 3.26, 3 Sc 3.28-3.34
Sc 0.6177 0.0566 0.0353  4 Sm 3.06-3.36, 1 Tb 3.26, 3 Sc 3.28-3.34
Sm 0.5933 0.5933 0.2201  3 Sc 3.06, 1 Sm 3.23
Sm 0.0625 0.6382 0.5262  3 Sc 3.22-3.36, 4 Sm 3.57-3.60
Sm 0.4067 0.4067 0.7799  3 Sc 3.06, 1 Sm 3.23
Sm 0.6382 0.7731 0.5262  3 Sc 3.22-3.36, 4 Sm 3.57-3.60
Sm 0.7731 0.0625 0.5262  3 Sc 3.22-3.36, 4 Sm 3.57-3.60
Sm 0.3618 0.2269 0.4738  3 Sc 3.22-3.36, 4 Sm 3.57-3.60
Sm 0.2269 0.9375 0.4738  3 Sc 3.22-3.36, 4 Sm 3.57-3.60
Sm 0.9375 0.3618 0.4738  3 Sc 3.22-3.36, 4 Sm 3.57-3.60
Tb 0.0000 0.0000 0.0000  6 Sc 3.26